Entry 1:
Computed, not measured: a relaxed structure of Ce2PrTh3Te6 at the PBE level of DFT.

Calculated values
raw formation energy	-115.7	kJ per mole of atoms

abc: 4.4510 9.0188 10.1133
angles: 105.34 102.71 90.00
Atoms (fractional coordinates):
Ce 0.8324 0.6676 0.6649
Ce 0.1676 0.3324 0.3351
Pr 0.5000 0.0000 0.0000
Th 0.5000 0.5000 0.0000
Th 0.8352 0.1716 0.6704
Th 0.1648 0.8284 0.3296
Te 0.3325 0.9174 0.6650
Te 0.6669 0.5790 0.3337
Te 0.6675 0.0826 0.3350
Te 0.0019 0.2513 0.0037
Te 0.9981 0.7487 0.9963
Te 0.3331 0.4210 0.6663

---

Entry 2:
Computed, not measured: a relaxed structure of NiPtW2N at the PBE level of DFT.

Calculated values
raw formation energy	-8.9	kJ per mole of atoms

abc: 4.0681 4.0681 3.9620
angles: 90.00 90.00 90.00
Atoms (fractional coordinates):
Ni 0.0000 0.0000 0.5000
W 0.0000 0.5000 0.0000
W 0.5000 0.0000 0.0000
Pt 0.5000 0.5000 0.5000
N 0.0000 0.0000 0.0000

---

Entry 3:
Computed, not measured: a relaxed structure of Dy7Tl2In at the PBE level of DFT.

Calculated values
DFT formation energy	-0.089	eV/atom

abc: 5.3022 5.3022 12.6817
angles: 90.00 90.00 120.00
Atoms (fractional coordinates):
Dy 0.6667 0.3333 0.5902
Dy 0.6667 0.3333 0.8533
Dy 0.0000 0.0000 0.7298
Dy 0.0000 0.0000 0.2635
Dy 0.3333 0.6667 0.4362
Dy 0.3333 0.6667 0.9775
Dy 0.6667 0.3333 0.1131
Tl 0.3333 0.6667 0.7032
Tl 0.6667 0.3333 0.3517
In 0.0000 0.0000 0.9981

---

Entry 4:
Computed, not measured: a relaxed structure of Ba2SmAgO4 at the PBE level of DFT.

Calculated values
raw formation energy	-210.1	kJ per mole of atoms

abc: 6.7396 6.7396 6.7396
angles: 75.22 128.87 128.87
Atoms (fractional coordinates):
Ba 0.5000 0.7500 0.2500
Ba 0.0000 0.0000 0.0000
Sm 0.5000 0.2500 0.7500
Ag 0.0000 0.5000 0.5000
O 0.5158 0.3653 0.4174
O 0.0522 0.1506 0.6347
O 0.9478 0.5826 0.0984
O 0.4842 0.9016 0.8494